Entry 1:
Below is a relaxed SrAgBPt2 crystal, with properties calculated at the PBE level.

## Properties
Calculated formation energy (meV per atom): -344
Electronic total energy (eV per atom): -5.00

Unit cell a=4.371 b=4.371 c=4.668 alpha=90.00 beta=90.00 gamma=90.00
Space group P4/mmm (No. 123)
Inequivalent atoms, fractional coordinates:
Sr 0.000 0.000 0.000 [1 per cell]
Ag 0.500 0.500 0.000 [1 per cell]
B 0.500 0.500 0.500 [1 per cell]
Pt 0.000 0.500 0.500 [2 per cell]

Entry 2:
Below is a relaxed TlAgBPt2 crystal, with properties calculated at the PBE level.

## Properties
Calculated formation energy (meV per atom): 97
Electronic total energy (eV per atom): -4.70

Unit cell a=4.230 b=4.230 c=4.741 alpha=90.00 beta=90.00 gamma=90.00
Space group P4/mmm (No. 123)
Inequivalent atoms, fractional coordinates:
Tl 0.000 0.000 0.000 [1 per cell]
Ag 0.500 0.500 0.000 [1 per cell]
B 0.500 0.500 0.500 [1 per cell]
Pt 0.000 0.500 0.500 [2 per cell]

Entry 3:
Below is a relaxed Ag2BPtW crystal, with properties calculated at the PBE level.

## Properties
Calculated formation energy (meV per atom): 1504
Electronic total energy (eV per atom): -4.77

Unit cell a=5.109 b=5.109 c=3.876 alpha=90.00 beta=90.00 gamma=90.00
Space group P4/mmm (No. 123)
Inequivalent atoms, fractional coordinates:
Ag 0.000 0.500 0.000 [2 per cell]
B 0.000 0.000 0.500 [1 per cell]
Pt 0.000 0.000 0.000 [1 per cell]
W 0.500 0.500 0.500 [1 per cell]

Entry 4:
Below is a relaxed ZnAg2B2Pt5 crystal, with properties calculated at the PBE level.

## Properties
Calculated formation energy (meV per atom): -219
Electronic total energy (eV per atom): -5.27

Unit cell a=10.010 b=10.010 c=2.833 alpha=90.00 beta=90.00 gamma=90.00
Space group P4/mbm (No. 127)
Inequivalent atoms, fractional coordinates:
Zn 0.000 0.000 0.000 [2 per cell]
Ag 0.187 0.313 0.000 [4 per cell]
B 0.130 0.630 0.000 [4 per cell]
Pt 0.000 0.500 0.500 [2 per cell]
Pt 0.054 0.778 0.500 [8 per cell]

The records above yield DOS(E_F) values of 3.9; 3.5; 2.4; 4.8 states/eV per cell, respectively.